Compound: KZnRe2
Source: Alexandria via LeMat-Bulk
Functional: PBE-GGA
Structure: optimized geometry

Computed properties:
Energy relative to the elements (eV per atom): 1.017
Raw total energy (eV per atom): -5.7998

Structure (extended XYZ):
```
4
Lattice="2.6327 0.0000 0.0000 0.0000 4.4082 0.0000 0.0000 0.0000 7.4585" Properties=species:S:1:pos:R:3 pbc="T T T"
K 0.0000 0.0000 0.0000
Zn 0.0000 0.0000 3.7293
Re 1.3164 2.2041 2.5604
Re 1.3164 2.2041 4.8981
```